Entry from Alexandria: crystalline Ac6Te3Ir2S at its relaxed geometry (GGA-PBE).

```
12
Lattice="3.877 -6.704 0.000 3.877 6.704 0.000 -2.625 0.000 7.882" Properties=species:S:1:pos:R:3 pbc="T T T"
Ac -0.071 2.330 6.211
Ac 1.171 0.000 1.665
Ac -0.071 -2.330 6.211
Ac 5.199 2.330 1.671
Ac 3.958 0.000 6.217
Ac 5.199 -2.330 1.671
Te -1.313 0.000 3.941
Te 2.564 2.170 3.941
Te 2.564 -2.170 3.941
Ir 3.877 4.459 0.000
Ir 3.877 -4.459 0.000
S 3.877 0.000 0.000
```

Uncorrected formation energy, eV/atom: -1.345
Energy, eV/atom: -6.005
Density, Mg/m³: 8.8


Entry from Alexandria: crystalline Ac6TeIr2S3 at its relaxed geometry (GGA-PBE).

```
12
Lattice="9.692 -2.177 0.000 9.692 2.177 0.000 -2.304 0.000 8.864" Properties=species:S:1:pos:R:3 pbc="T T T"
Ac -0.459 0.000 2.426
Ac 4.212 0.000 7.879
Ac 5.357 0.000 3.796
Ac 11.724 0.000 5.068
Ac 12.869 0.000 0.985
Ac 17.540 0.000 6.438
Te 9.692 0.000 0.000
Ir 2.491 0.000 2.971
Ir 14.590 0.000 5.894
S 1.128 0.000 7.448
S 8.541 0.000 4.432
S 15.953 0.000 1.416
```

Uncorrected formation energy, eV/atom: -1.452
Energy, eV/atom: -6.277
Density, Mg/m³: 8.7


Entry from Alexandria: crystalline Ac8Te4Ir3S at its relaxed geometry (GGA-PBE).

```
16
Lattice="4.463 2.577 7.909 -4.463 2.577 7.909 0.000 -5.153 7.909" Properties=species:S:1:pos:R:3 pbc="T T T"
Ac -2.307 -1.332 13.527
Ac 0.000 0.000 5.605
Ac 0.000 -2.664 10.199
Ac -2.307 1.332 10.199
Ac 2.307 -1.332 13.527
Ac 0.000 2.664 13.527
Ac 0.000 0.000 18.121
Ac 2.307 1.332 10.199
Te 0.000 0.000 0.000
Te -2.231 -1.288 7.909
Te -2.231 1.288 15.818
Te 0.000 2.577 7.909
Ir -4.463 0.000 11.863
Ir -2.231 1.288 3.954
Ir 2.231 1.288 3.954
S 0.000 0.000 11.863
```

Uncorrected formation energy, eV/atom: -1.275
Energy, eV/atom: -6.034
Density, Mg/m³: 8.9


Entry from Alexandria: crystalline Ac4TeIrS2 at its relaxed geometry (GGA-PBE).

```
8
Lattice="7.678 0.000 0.000 0.000 4.375 0.000 -2.543 0.000 7.537" Properties=species:S:1:pos:R:3 pbc="T T T"
Ac 1.241 0.000 1.702
Ac 0.024 2.188 5.848
Ac 5.111 2.188 1.689
Ac 3.894 0.000 5.835
Te 2.568 2.188 3.769
Ir 3.839 0.000 0.000
S -1.271 0.000 3.769
S 0.000 2.188 0.000
```

Uncorrected formation energy, eV/atom: -1.481
Energy, eV/atom: -6.067
Density, Mg/m³: 8.5


Entry from Alexandria: crystalline AcThIrS at its relaxed geometry (GGA-PBE).

```
4
Lattice="2.070 1.195 7.597 -2.070 1.195 7.597 0.000 -2.390 7.597" Properties=species:S:1:pos:R:3 pbc="T T T"
Ac 0.000 0.000 0.000
Th 0.000 0.000 4.198
Ir 0.000 0.000 13.302
S 0.000 0.000 17.479
```

Uncorrected formation energy, eV/atom: -1.296
Energy, eV/atom: -7.425
Density, Mg/m³: 10.1


Entry from Alexandria: crystalline Ac8Tl3Ir3S at its relaxed geometry (GGA-PBE).

```
15
Lattice="7.586 -4.391 0.000 7.586 4.391 0.000 -5.053 0.000 8.238" Properties=species:S:1:pos:R:3 pbc="T T T"
Ac 3.764 2.256 5.791
Ac 0.003 0.000 5.729
Ac 2.460 0.000 2.446
Ac 6.356 2.256 2.447
Ac 3.764 -2.256 5.791
Ac 7.660 0.000 5.792
Ac 10.117 0.000 2.509
Ac 6.356 -2.256 2.447
Tl 3.793 2.195 0.000
Tl 3.793 -2.195 0.000
Tl 7.586 0.000 0.000
Ir -2.526 0.000 4.119
Ir 1.267 2.195 4.119
Ir 1.267 -2.195 4.119
S 5.060 0.000 4.119
```

Uncorrected formation energy, eV/atom: -0.633
Energy, eV/atom: -5.345
Density, Mg/m³: 9.2


Entry from Alexandria: crystalline Ac2SbIr at its relaxed geometry (GGA-PBE).

```
4
Lattice="3.811 0.000 0.000 0.000 3.811 0.000 0.000 0.000 8.192" Properties=species:S:1:pos:R:3 pbc="T T T"
Ac 0.000 0.000 1.786
Ac 0.000 0.000 6.406
Sb 1.906 1.906 4.096
Ir 1.906 1.906 0.000
```

Energy above the most stable polymorph in this dataset, eV per atom: 0.0000
Uncorrected formation energy, eV/atom: -0.678
Energy, eV/atom: -5.978
Density, Mg/m³: 10.7


Entry from Alexandria: crystalline AcSbIr at its relaxed geometry (GGA-PBE).

```
3
Lattice="-1.791 1.791 5.902 1.791 -1.791 5.902 1.791 1.791 -5.902" Properties=species:S:1:pos:R:3 pbc="T T T"
Ac 0.000 0.000 0.000
Sb 0.000 0.000 3.317
Ir 0.000 0.000 7.990
```

Energy above the most stable polymorph in this dataset, eV per atom: 0.4324
Uncorrected formation energy, eV/atom: -0.349
Energy, eV/atom: -6.046
Density, Mg/m³: 11.9


Entry from Alexandria: crystalline Ac3SbIr at its relaxed geometry (GGA-PBE).

```
10
Lattice="7.833 0.000 0.000 0.000 4.865 0.000 -1.759 0.000 11.473" Properties=species:S:1:pos:R:3 pbc="T T T"
Ac 0.036 1.216 1.896
Ac 0.741 1.216 5.921
Ac 2.108 3.649 9.338
Ac 3.966 1.216 2.135
Ac 5.333 3.649 5.552
Ac 6.039 3.649 9.577
Sb 2.067 3.649 0.744
Sb 4.007 1.216 10.729
Ir -0.038 3.649 7.353
Ir 6.113 1.216 4.120
```

Energy above the most stable polymorph in this dataset, eV per atom: 0.2861
Uncorrected formation energy, eV/atom: -0.513
Energy, eV/atom: -5.575
Density, Mg/m³: 7.6


Entry from Alexandria: crystalline Ac2SbIr at its relaxed geometry (GGA-PBE).

```
4
Lattice="0.000 3.912 3.912 3.912 0.000 3.912 3.912 3.912 0.000" Properties=species:S:1:pos:R:3 pbc="T T T"
Ac 1.956 1.956 1.956
Ac 5.868 5.868 5.868
Sb 0.000 0.000 0.000
Ir 3.912 3.912 3.912
```

Energy above the most stable polymorph in this dataset, eV per atom: 0.1077
Uncorrected formation energy, eV/atom: -0.571
Energy, eV/atom: -5.871
Density, Mg/m³: 10.7


Entry from Alexandria: crystalline AcSbIr at its relaxed geometry (GGA-PBE).

```
6
Lattice="4.567 0.000 0.000 -2.284 3.955 0.000 0.000 0.000 9.017" Properties=species:S:1:pos:R:3 pbc="T T T"
Ac 0.000 0.000 0.000
Ac 0.000 0.000 4.508
Sb 0.000 2.637 2.254
Sb 2.284 1.318 6.763
Ir 0.000 2.637 6.763
Ir 2.284 1.318 2.254
```

Energy above the most stable polymorph in this dataset, eV per atom: 0.0000
Uncorrected formation energy, eV/atom: -0.781
Energy, eV/atom: -6.479
Density, Mg/m³: 11.0


Entry from Alexandria: crystalline AcSbIr2 at its relaxed geometry (GGA-PBE).

```
4
Lattice="2.262 1.306 5.347 -2.262 1.306 5.347 0.000 -2.612 5.347" Properties=species:S:1:pos:R:3 pbc="T T T"
Ac 0.000 0.000 0.000
Sb 0.000 0.000 8.021
Ir 0.000 0.000 3.269
Ir 0.000 0.000 12.773
```

Uncorrected formation energy, eV/atom: -0.461
Energy, eV/atom: -6.949
Density, Mg/m³: 12.8


Entry from Alexandria: crystalline AcSbIr4 at its relaxed geometry (GGA-PBE).

```
6
Lattice="0.000 3.873 3.873 3.873 0.000 3.873 3.873 3.873 0.000" Properties=species:S:1:pos:R:3 pbc="T T T"
Ac 0.000 0.000 0.000
Sb 5.809 5.809 5.809
Ir 2.913 2.913 2.913
Ir 4.833 4.833 2.913
Ir 4.833 2.913 4.833
Ir 2.913 4.833 4.833
```

Uncorrected formation energy, eV/atom: -0.131
Energy, eV/atom: -7.410
Density, Mg/m³: 16.0


Entry from Alexandria: crystalline Ac5SbIr2 at its relaxed geometry (GGA-PBE).

```
16
Lattice="-4.247 4.247 7.244 4.247 -4.247 7.244 4.247 4.247 -7.244" Properties=species:S:1:pos:R:3 pbc="T T T"
Ac 0.000 0.000 0.000
Ac 5.593 1.346 -1.934
Ac 1.346 2.902 -1.934
Ac 5.593 1.346 1.934
Ac 1.346 2.902 1.934
Ac 0.000 0.000 7.244
Ac 2.902 1.346 5.311
Ac -1.346 2.902 5.311
Ac 2.902 1.346 9.178
Ac -1.346 2.902 9.178
Sb 0.000 0.000 3.622
Sb 0.000 0.000 10.866
Ir 3.039 1.208 0.000
Ir 3.039 -1.208 7.244
Ir 1.208 5.456 0.000
Ir 1.208 3.039 7.244
```

Uncorrected formation energy, eV/atom: -0.697
Energy, eV/atom: -5.995
Density, Mg/m³: 10.4


Entry from Alexandria: crystalline Ac3Sb4Ir2 at its relaxed geometry (GGA-PBE).

```
9
Lattice="5.980 -2.378 0.000 5.980 2.378 0.000 -2.879 0.000 9.080" Properties=species:S:1:pos:R:3 pbc="T T T"
Ac 0.000 0.000 0.000
Ac 3.575 0.000 2.753
Ac 5.506 0.000 6.326
Sb -0.007 0.000 3.546
Sb 0.976 0.000 8.090
Sb 8.105 0.000 0.990
Sb 9.088 0.000 5.534
Ir 1.884 0.000 5.451
Ir 7.197 0.000 3.629
```

Energy above the most stable polymorph in this dataset, eV per atom: 0.0249
Uncorrected formation energy, eV/atom: -0.760
Energy, eV/atom: -5.931
Density, Mg/m³: 10.0


Entry from Alexandria: crystalline AcSbIr at its relaxed geometry (GGA-PBE).

```
6
Lattice="-2.893 4.368 3.354 2.893 -4.368 3.354 2.893 4.368 -3.354" Properties=species:S:1:pos:R:3 pbc="T T T"
Ac 0.000 0.000 0.000
Ac 0.000 4.368 0.000
Sb 2.893 2.184 0.537
Sb 0.000 2.184 2.817
Ir 1.446 2.184 -1.677
Ir 1.446 -2.184 1.677
```

Energy above the most stable polymorph in this dataset, eV per atom: 0.0601
Uncorrected formation energy, eV/atom: -0.721
Energy, eV/atom: -6.418
Density, Mg/m³: 10.6


Entry from Alexandria: crystalline Ac3SbIr at its relaxed geometry (GGA-PBE).

```
5
Lattice="5.787 0.000 0.000 0.000 5.787 0.000 0.000 0.000 5.787" Properties=species:S:1:pos:R:3 pbc="T T T"
Ac 0.000 0.000 2.894
Ac 0.000 2.894 0.000
Ac 2.894 0.000 0.000
Sb 2.894 2.894 2.894
Ir 0.000 0.000 0.000
```

Energy above the most stable polymorph in this dataset, eV per atom: 0.2272
Uncorrected formation energy, eV/atom: -0.572
Energy, eV/atom: -5.634
Density, Mg/m³: 8.5


Entry from Alexandria: crystalline AcSb12Ir4 at its relaxed geometry (GGA-PBE).

```
17
Lattice="-4.754 4.754 4.754 4.754 -4.754 4.754 4.754 4.754 -4.754" Properties=species:S:1:pos:R:3 pbc="T T T"
Ac 0.000 0.000 0.000
Sb 3.225 1.475 0.000
Sb 6.283 1.475 0.000
Sb 4.754 -1.529 3.278
Sb 3.278 4.754 -1.529
Sb 1.475 0.000 3.225
Sb 0.000 3.225 1.475
Sb 4.754 1.529 3.278
Sb 3.278 4.754 1.529
Sb 1.475 0.000 6.283
Sb 0.000 6.283 1.475
Sb -1.529 3.278 4.754
Sb 1.529 3.278 4.754
Ir 2.377 2.377 -2.377
Ir 2.377 -2.377 2.377
Ir -2.377 2.377 2.377
Ir 2.377 2.377 2.377
```

Uncorrected formation energy, eV/atom: -0.374
Energy, eV/atom: -5.611
Density, Mg/m³: 9.5


Entry from Alexandria: crystalline Ac4SbIr2 at its relaxed geometry (GGA-PBE).

```
14
Lattice="2.233 -7.289 0.000 2.233 7.289 0.000 0.000 0.000 14.667" Properties=species:S:1:pos:R:3 pbc="T T T"
Ac 0.000 0.000 0.000
Ac 0.000 0.000 7.334
Ac 2.233 3.405 8.965
Ac 2.233 3.405 13.036
Ac 2.233 0.890 3.667
Ac 2.233 -0.890 11.000
Ac 2.233 -3.405 1.631
Ac 2.233 -3.405 5.702
Sb 2.233 5.710 3.667
Sb 2.233 -5.710 11.000
Ir 2.233 1.908 0.902
Ir 2.233 1.908 6.432
Ir 2.233 -1.908 8.235
Ir 2.233 -1.908 13.765
```

Uncorrected formation energy, eV/atom: -0.768
Energy, eV/atom: -6.236
Density, Mg/m³: 9.8


Entry from Alexandria: crystalline Ac3SbIr at its relaxed geometry (GGA-PBE).

```
20
Lattice="9.338 0.000 0.000 0.000 4.647 0.000 0.000 0.000 16.177" Properties=species:S:1:pos:R:3 pbc="T T T"
Ac 0.191 1.162 1.677
Ac 1.440 1.162 8.256
Ac 1.791 3.485 4.626
Ac 2.878 1.162 12.715
Ac 3.229 3.485 0.167
Ac 4.478 3.485 9.765
Ac 4.860 1.162 6.411
Ac 6.109 1.162 16.009
Ac 6.460 3.485 3.462
Ac 7.547 1.162 11.550
Ac 7.898 3.485 7.921
Ac 9.147 3.485 14.500
Sb 0.810 3.485 10.989
Sb 3.859 1.162 2.901
Sb 5.479 3.485 13.276
Sb 8.528 1.162 5.187
Ir 1.634 1.162 15.252
Ir 3.035 3.485 7.163
Ir 6.303 1.162 9.013
Ir 7.704 3.485 0.925
```

Energy above the most stable polymorph in this dataset, eV per atom: 0.0000
Uncorrected formation energy, eV/atom: -0.799
Energy, eV/atom: -5.861
Density, Mg/m³: 9.4